Record 1
CdCu2Os: optimized geometry, PBE.

POSCAR file:
```
CdCu2Os
1.0
1.375 0.794 8.969
-1.375 0.794 8.969
0.000 -1.588 8.969
Cd Cu Os
1 2 1
Direct
0.000 0.000 0.000
0.246 0.246 0.246
0.506 0.506 0.506
0.761 0.761 0.761
```

Output
ρ in g/cm³: 12.1
Space group: R3m, No. 160
Calculated total energy in eV per atom: -4.759



Record 2
CdCu2Os: optimized geometry, PBE.

POSCAR file:
```
CdCu2Os
1.0
-1.918 1.918 8.959
1.918 -1.918 8.959
1.918 1.918 -8.959
Cd Cu Os
2 4 2
Direct
0.000 0.000 0.000
0.750 0.250 0.500
0.161 0.625 0.036
0.375 0.411 0.536
0.589 0.125 0.964
0.875 0.839 0.464
0.250 0.750 0.500
0.500 0.500 0.000
```

Output
ρ in g/cm³: 10.8
Space group: I-42d, No. 122
Calculated total energy in eV per atom: -4.202



Record 3
CdCu2Os: optimized geometry, PBE.

POSCAR file:
```
CdCu2Os
1.0
-1.357 2.406 4.639
1.357 -2.406 4.639
1.357 2.406 -4.639
Cd Cu Os
1 2 1
Direct
0.000 0.000 0.000
0.260 0.760 0.500
0.740 0.240 0.500
0.500 0.500 0.000
```

Output
ρ in g/cm³: 11.8
Space group: Immm, No. 71
Calculated total energy in eV per atom: -4.588